Compound: La4CeTm3Te8
Source: Alexandria
Functional: PBE
Structure: optimized geometry

As for the formation energy from raw total energies: -1.410 eV/atom. As for the density of states at the Fermi level: 50.1 states/eV/cell. Its volume is 31.50 Å³ per atom. For the energy, the calculation gives -5.4217 eV/atom. The size of the total moment is 1.13 μB per formula unit.

It has space group R-3m (No. 166, hexagonal axes), with a = 8.8723 Å, b = 8.8723 Å, c = 22.1783 Å, α = 90.00°, β = 90.00° and γ = 120.00°. The inequivalent atoms are La at (0.0000, 0.0000, 0.0000), La at (0.0000, 0.5000, 0.0000), Ce at (0.0000, 0.0000, 0.5000), Tm at (0.0000, 0.5000, 0.5000), Te at (0.0000, 0.0000, 0.2427) and Te at (0.0072, 0.5036, 0.7557).